[1]
Mg3CoPb | PBEsol | relaxed

Cell lengths 4.8108, 4.8108, 4.8108 Å; angles 90.00, 90.00, 90.00 degrees
With the nearest neighbours (Å) after each atom.
Space group Pm-3m (No. 221)
Inequivalent atoms, fractional coordinates:
1 Mg 0.0000 0.0000 0.5000 x3  2 Co 2.41
2 Co 0.0000 0.0000 0.0000 x1  6 Mg 2.41
3 Pb 0.5000 0.5000 0.5000 x1  12 Mg 3.40

Properties
As for the volume: 111.3 Å³ per cell. Its formation enthalpy at 0 K is 285 meV per atom. The total energy is -15.5 eV/f.u. For the size of the total moment, the calculation gives 0.102 μB per formula unit.

[2]
TbCu4Au | PBEsol | relaxed

Cell lengths 7.0080, 7.0080, 7.0080 Å; angles 90.00, 90.00, 90.00 degrees
With the nearest neighbours (Å) after each atom.
Space group F-43m (No. 216)
Inequivalent atoms, fractional coordinates:
1 Tb 0.0000 0.0000 0.0000 x4  12 Cu 2.91, 4 Au 3.03
2 Cu 0.1242 0.1242 0.6242 x16  6 Cu 2.46-2.49
3 Au 0.2500 0.2500 0.2500 x4  12 Cu 2.90, 4 Tb 3.03

Properties
As for the volume: 344.2 Å³ per cell. Its formation enthalpy at 0 K is -353 meV per atom. The total energy is -28.4 eV/f.u. For the size of the total moment, the calculation gives 0.000 μB per formula unit.